Record 1
CuNi5Rh | PBE-GGA | relaxed

Structure (CIF):
```
data_CuNi5Rh
_cell_length_a 5.249
_cell_length_b 5.249
_cell_length_c 5.249
_cell_angle_alpha 128.79
_cell_angle_beta 127.04
_cell_angle_gamma 76.77
_symmetry_space_group_name_H-M 'P 1'
_symmetry_Int_Tables_number 1
loop_
_symmetry_equiv_pos_as_xyz
'x,y,z'
loop_
_atom_site_label
_atom_site_type_symbol
_atom_site_fract_x
_atom_site_fract_y
_atom_site_fract_z
Cu1 Cu 0.000 0.000 0.000
Ni1 Ni 0.143 0.386 0.757
Ni2 Ni 0.425 0.925 0.500
Ni3 Ni 0.629 0.386 0.243
Ni4 Ni 0.669 0.423 0.754
Ni5 Ni 0.669 0.916 0.246
Rh1 Rh 0.149 0.649 0.500
```

Results
For the offset from the most stable computed form, the calculation gives 0.57 eV/f.u. The formation energy is 0.32 eV per atom.

***

Record 2
CuNi5Rh4 | PBE-GGA | relaxed

Structure (CIF):
```
data_CuNi5Rh4
_cell_length_a 6.881
_cell_length_b 6.881
_cell_length_c 5.183
_cell_angle_alpha 102.09
_cell_angle_beta 102.09
_cell_angle_gamma 31.34
_symmetry_space_group_name_H-M 'P 1'
_symmetry_Int_Tables_number 1
loop_
_symmetry_equiv_pos_as_xyz
'x,y,z'
loop_
_atom_site_label
_atom_site_type_symbol
_atom_site_fract_x
_atom_site_fract_y
_atom_site_fract_z
Cu1 Cu 0.000 0.000 0.000
Ni1 Ni 0.000 0.000 0.500
Ni2 Ni 0.197 0.197 0.601
Ni3 Ni 0.402 0.402 0.200
Ni4 Ni 0.598 0.598 0.800
Ni5 Ni 0.803 0.803 0.399
Rh1 Rh 0.202 0.202 0.106
Rh2 Rh 0.401 0.401 0.689
Rh3 Rh 0.599 0.599 0.311
Rh4 Rh 0.798 0.798 0.894
```

Results
For the offset from the most stable computed form, the calculation gives 0.00 eV/f.u. The formation energy is 0.06 eV per atom.

***

Record 3
Cu7Ni3Rh | PBE-GGA | relaxed

Structure (CIF):
```
data_Cu7Ni3Rh
_cell_length_a 5.102
_cell_length_b 5.102
_cell_length_c 6.155
_cell_angle_alpha 90.00
_cell_angle_beta 90.00
_cell_angle_gamma 120.00
_symmetry_space_group_name_H-M 'P 1'
_symmetry_Int_Tables_number 1
loop_
_symmetry_equiv_pos_as_xyz
'x,y,z'
loop_
_atom_site_label
_atom_site_type_symbol
_atom_site_fract_x
_atom_site_fract_y
_atom_site_fract_z
Cu1 Cu 0.000 0.000 0.000
Cu2 Cu 0.005 0.503 0.992
Cu3 Cu 0.169 0.337 0.341
Cu4 Cu 0.169 0.831 0.341
Cu5 Cu 0.497 0.503 0.992
Cu6 Cu 0.497 0.995 0.992
Cu7 Cu 0.663 0.831 0.341
Ni1 Ni 0.330 0.165 0.670
Ni2 Ni 0.835 0.165 0.670
Ni3 Ni 0.835 0.670 0.670
Rh1 Rh 0.667 0.333 0.344
```

Results
The formation energy is 0.14 eV per atom.

***

Record 4
Cu12Ni2Rh | PBE-GGA | relaxed

Structure (CIF):
```
data_Cu12Ni2Rh
_cell_length_a 2.485
_cell_length_b 4.136
_cell_length_c 18.588
_cell_angle_alpha 90.00
_cell_angle_beta 90.00
_cell_angle_gamma 90.00
_symmetry_space_group_name_H-M 'P 1'
_symmetry_Int_Tables_number 1
loop_
_symmetry_equiv_pos_as_xyz
'x,y,z'
loop_
_atom_site_label
_atom_site_type_symbol
_atom_site_fract_x
_atom_site_fract_y
_atom_site_fract_z
Cu1 Cu 0.000 0.000 0.063
Cu2 Cu 0.000 0.000 0.423
Cu3 Cu 0.000 0.000 0.577
Cu4 Cu 0.000 0.000 0.937
Cu5 Cu 0.500 0.000 0.179
Cu6 Cu 0.500 0.000 0.304
Cu7 Cu 0.500 0.000 0.696
Cu8 Cu 0.500 0.000 0.821
Cu9 Cu 0.500 0.500 0.109
Cu10 Cu 0.500 0.500 0.371
Cu11 Cu 0.500 0.500 0.629
Cu12 Cu 0.500 0.500 0.891
Ni1 Ni 0.000 0.500 0.242
Ni2 Ni 0.000 0.500 0.758
Rh1 Rh 0.000 0.500 0.500
```

Results
The formation energy is 0.17 eV per atom.